A relaxed TaCrFe3 crystal, computed with PBE-GGA.

Calculated values
**Symmetry**: Pm-3m (221)
**M_tot**: 1.028 μB per atom
**Uncorrected energy**: -7.479 eV per atom
**Calculated density**: 7.565 g/cm3
**Formation energy**: 1.894 eV per atom

The structure in POSCAR format:
```
TaCrFe3
1.0
4.446 0.000 0.000
0.000 4.446 0.000
0.000 0.000 4.446
Ta Cr Fe
1 1 3
direct
0.000 0.000 0.000
0.500 0.500 0.500
0.000 0.000 0.500
0.000 0.500 0.000
0.500 0.000 0.000
```